Record 1
Density functional theory data (PBE) for a relaxed structure of Zn2Te3.

Computed properties:
The value obtained for the uncorrected formation energy is -0.07 eV per atom.

Structure (CIF):
```
data_Zn2Te3
_chemical_formula_sum 'Zn4 Te6'
_cell_length_a 7.6257
_cell_length_b 6.7660
_cell_length_c 8.9925
_cell_angle_alpha 55.75
_cell_angle_beta 47.17
_cell_angle_gamma 77.08
_symmetry_space_group_name_H-M 'P 1'
_symmetry_Int_Tables_number 1
_symmetry_space_group_name_Hall 'P 1'
loop_
_atom_site_label
_atom_site_type_symbol
_atom_site_fract_x
_atom_site_fract_y
_atom_site_fract_z
Zn1 Zn 0.2080 0.7920 0.4206
Zn2 Zn 0.6706 0.8294 0.4580
Zn3 Zn 0.7920 0.2080 0.5794
Zn4 Zn 0.8294 0.6706 0.0420
Te1 Te 0.0093 0.2760 0.1418
Te2 Te 0.1082 0.6771 0.2407
Te3 Te 0.2760 0.0093 0.5729
Te4 Te 0.4200 0.4200 0.5800
Te5 Te 0.6700 0.6700 0.8300
Te6 Te 0.6771 0.1082 0.9740
```

---

Record 2
Density functional theory data (PBE) for a relaxed structure of Tb2DyEr.

Computed properties:
The value obtained for the formation energy is 143 meV/atom.

Structure (CIF):
```
data_Tb2DyEr
_chemical_formula_sum 'Tb8 Dy4 Er4'
_cell_length_a 7.9768
_cell_length_b 7.9768
_cell_length_c 7.9768
_cell_angle_alpha 90.00
_cell_angle_beta 90.00
_cell_angle_gamma 90.00
_symmetry_space_group_name_H-M 'P 1'
_symmetry_Int_Tables_number 1
_symmetry_space_group_name_Hall 'P 1'
loop_
_atom_site_label
_atom_site_type_symbol
_atom_site_fract_x
_atom_site_fract_y
_atom_site_fract_z
Tb1 Tb 0.2500 0.2500 0.2500
Tb2 Tb 0.2500 0.2500 0.7500
Tb3 Tb 0.2500 0.7500 0.2500
Tb4 Tb 0.2500 0.7500 0.7500
Tb5 Tb 0.7500 0.2500 0.2500
Tb6 Tb 0.7500 0.2500 0.7500
Tb7 Tb 0.7500 0.7500 0.2500
Tb8 Tb 0.7500 0.7500 0.7500
Dy1 Dy 0.0000 0.0000 0.0000
Dy2 Dy 0.0000 0.5000 0.5000
Dy3 Dy 0.5000 0.0000 0.5000
Dy4 Dy 0.5000 0.5000 0.0000
Er1 Er 0.0000 0.0000 0.5000
Er2 Er 0.0000 0.5000 0.0000
Er3 Er 0.5000 0.0000 0.0000
Er4 Er 0.5000 0.5000 0.5000
```

---

Record 3
Density functional theory data (PBE) for a relaxed structure of Pm7In2Os2.

Computed properties:
The value obtained for the formation energy is -166 meV/atom.

Structure (CIF):
```
data_Pm7In2Os2
_chemical_formula_sum 'Pm7 In2 Os2'
_cell_length_a 7.0064
_cell_length_b 7.0064
_cell_length_c 7.2122
_cell_angle_alpha 90.00
_cell_angle_beta 90.00
_cell_angle_gamma 106.54
_symmetry_space_group_name_H-M 'P 1'
_symmetry_Int_Tables_number 1
_symmetry_space_group_name_Hall 'P 1'
loop_
_atom_site_label
_atom_site_type_symbol
_atom_site_fract_x
_atom_site_fract_y
_atom_site_fract_z
Pm1 Pm 0.0000 0.0000 0.0000
Pm2 Pm 0.0000 0.5000 0.2491
Pm3 Pm 0.0000 0.5000 0.7509
Pm4 Pm 0.5000 0.0000 0.2491
Pm5 Pm 0.5000 0.0000 0.7509
Pm6 Pm 0.5000 0.5000 0.2426
Pm7 Pm 0.5000 0.5000 0.7574
In1 In 0.1717 0.1717 0.5000
In2 In 0.8283 0.8283 0.5000
Os1 Os 0.2922 0.7078 0.0000
Os2 Os 0.7078 0.2922 0.0000
```

---

Record 4
Density functional theory data (PBE) for a relaxed structure of Y2InPb.

Computed properties:
The value obtained for the formation energy is -515 meV/atom.

Structure (CIF):
```
data_Y2InPb
_chemical_formula_sum 'Y4 In2 Pb2'
_cell_length_a 4.3560
_cell_length_b 4.5895
_cell_length_c 11.5334
_cell_angle_alpha 90.00
_cell_angle_beta 90.00
_cell_angle_gamma 90.00
_symmetry_space_group_name_H-M 'P 1'
_symmetry_Int_Tables_number 1
_symmetry_space_group_name_Hall 'P 1'
loop_
_atom_site_label
_atom_site_type_symbol
_atom_site_fract_x
_atom_site_fract_y
_atom_site_fract_z
Y1 Y 0.0000 0.0000 0.0000
Y2 Y 0.0000 0.5000 0.5000
Y3 Y 0.5000 0.0000 0.2694
Y4 Y 0.5000 0.5000 0.7694
In1 In 0.0000 0.0000 0.7283
In2 In 0.0000 0.5000 0.2283
Pb1 Pb 0.5000 0.0000 0.5450
Pb2 Pb 0.5000 0.5000 0.0450
```

---

Record 5
Density functional theory data (PBE) for a relaxed structure of Pa2NbW.

Computed properties:
The value obtained for the formation energy is 354 meV/atom.

Structure (CIF):
```
data_Pa2NbW
_chemical_formula_sum 'Pa2 Nb1 W1'
_cell_length_a 3.5044
_cell_length_b 3.5044
_cell_length_c 7.0788
_cell_angle_alpha 90.00
_cell_angle_beta 90.00
_cell_angle_gamma 90.00
_symmetry_space_group_name_H-M 'P 1'
_symmetry_Int_Tables_number 1
_symmetry_space_group_name_Hall 'P 1'
loop_
_atom_site_label
_atom_site_type_symbol
_atom_site_fract_x
_atom_site_fract_y
_atom_site_fract_z
Pa1 Pa 0.0000 0.0000 0.2435
Pa2 Pa 0.0000 0.0000 0.7565
Nb1 Nb 0.5000 0.5000 0.5000
W1 W 0.5000 0.5000 0.0000
```

---

Record 6
Density functional theory data (PBE) for a relaxed structure of BaZn2Si.

Computed properties:
The value obtained for the uncorrected formation energy is 0.01 eV per atom.

Structure (CIF):
```
data_BaZn2Si
_chemical_formula_sum 'Ba2 Zn4 Si2'
_cell_length_a 4.3903
_cell_length_b 6.3393
_cell_length_c 7.7281
_cell_angle_alpha 90.00
_cell_angle_beta 90.00
_cell_angle_gamma 90.00
_symmetry_space_group_name_H-M 'P 1'
_symmetry_Int_Tables_number 1
_symmetry_space_group_name_Hall 'P 1'
loop_
_atom_site_label
_atom_site_type_symbol
_atom_site_fract_x
_atom_site_fract_y
_atom_site_fract_z
Ba1 Ba 0.0000 0.0000 0.0000
Ba2 Ba 0.5000 0.5000 0.5000
Zn1 Zn 0.0000 0.0000 0.5385
Zn2 Zn 0.0000 0.5000 0.8324
Zn3 Zn 0.5000 0.0000 0.3324
Zn4 Zn 0.5000 0.5000 0.0385
Si1 Si 0.0000 0.5000 0.1762
Si2 Si 0.5000 0.0000 0.6762
```

---

Record 7
Density functional theory data (PBE) for a relaxed structure of Cs2ZnRh.

Computed properties:
The value obtained for the formation energy is 742 meV/atom.

Structure (CIF):
```
data_Cs2ZnRh
_chemical_formula_sum 'Cs8 Zn4 Rh4'
_cell_length_a 8.2610
_cell_length_b 8.2610
_cell_length_c 8.2610
_cell_angle_alpha 90.00
_cell_angle_beta 90.00
_cell_angle_gamma 90.00
_symmetry_space_group_name_H-M 'P 1'
_symmetry_Int_Tables_number 1
_symmetry_space_group_name_Hall 'P 1'
loop_
_atom_site_label
_atom_site_type_symbol
_atom_site_fract_x
_atom_site_fract_y
_atom_site_fract_z
Cs1 Cs 0.2500 0.2500 0.2500
Cs2 Cs 0.2500 0.2500 0.7500
Cs3 Cs 0.2500 0.7500 0.2500
Cs4 Cs 0.2500 0.7500 0.7500
Cs5 Cs 0.7500 0.2500 0.2500
Cs6 Cs 0.7500 0.2500 0.7500
Cs7 Cs 0.7500 0.7500 0.2500
Cs8 Cs 0.7500 0.7500 0.7500
Zn1 Zn 0.0000 0.0000 0.0000
Zn2 Zn 0.0000 0.5000 0.5000
Zn3 Zn 0.5000 0.0000 0.5000
Zn4 Zn 0.5000 0.5000 0.0000
Rh1 Rh 0.0000 0.0000 0.5000
Rh2 Rh 0.0000 0.5000 0.0000
Rh3 Rh 0.5000 0.0000 0.0000
Rh4 Rh 0.5000 0.5000 0.5000
```

---

Record 8
Density functional theory data (PBE) for a relaxed structure of NbSe2I.

Computed properties:
The value obtained for the uncorrected formation energy is 0.39 eV per atom.

Structure (CIF):
```
data_NbSe2I
_chemical_formula_sum 'Nb4 Se8 I4'
_cell_length_a 6.9475
_cell_length_b 6.9475
_cell_length_c 6.9475
_cell_angle_alpha 90.00
_cell_angle_beta 90.00
_cell_angle_gamma 90.00
_symmetry_space_group_name_H-M 'P 1'
_symmetry_Int_Tables_number 1
_symmetry_space_group_name_Hall 'P 1'
loop_
_atom_site_label
_atom_site_type_symbol
_atom_site_fract_x
_atom_site_fract_y
_atom_site_fract_z
Nb1 Nb 0.0000 0.0000 0.0000
Nb2 Nb 0.0000 0.5000 0.5000
Nb3 Nb 0.5000 0.0000 0.5000
Nb4 Nb 0.5000 0.5000 0.0000
Se1 Se 0.2500 0.2500 0.2500
Se2 Se 0.2500 0.2500 0.7500
Se3 Se 0.2500 0.7500 0.2500
Se4 Se 0.2500 0.7500 0.7500
Se5 Se 0.7500 0.2500 0.2500
Se6 Se 0.7500 0.2500 0.7500
Se7 Se 0.7500 0.7500 0.2500
Se8 Se 0.7500 0.7500 0.7500
I1 I 0.0000 0.0000 0.5000
I2 I 0.0000 0.5000 0.0000
I3 I 0.5000 0.0000 0.0000
I4 I 0.5000 0.5000 0.5000
```